No. 1
This record from Alexandria describes LiC4 after structural relaxation. The functional is PBE.

As for the crystal system: tetragonal. The value obtained for the energy of formation is 2324 meV per atom. As for the energy above the most stable polymorph in this dataset: 115.56 kJ/mol of atoms. Its total magnetic moment is 0.00 μB/cell.

```
data_LiC4
_chemical_formula_sum 'Li2 C8'
_symmetry_space_group_name_H-M 'I 4/m'
_symmetry_Int_Tables_number 87
_symmetry_space_group_name_Hall '-I 4'
_cell_length_a 5.878
_cell_length_b 5.878
_cell_length_c 2.427
_cell_angle_alpha 90.00
_cell_angle_beta 90.00
_cell_angle_gamma 90.00
loop_
_atom_site_label
_atom_site_type_symbol
_atom_site_fract_x
_atom_site_fract_y
_atom_site_fract_z
_atom_site_occupancy
Li1 Li 0.000 0.000 0.000 1
C1 C 0.102 0.389 0.500 1
```

=====

No. 2
This record from Alexandria describes AlOs3Cl after structural relaxation. The functional is PBE.

The uncorrected formation energy comes out at 1.804 eV/atom. As for the crystal system: cubic. As for the energy above the most stable polymorph in this dataset: 0.00 kJ/mol of atoms. Its total magnetic moment is 0.00 μB/cell.

```
data_AlOs3Cl
_chemical_formula_sum 'Al1 Os3 Cl1'
_symmetry_space_group_name_H-M 'P m -3 m'
_symmetry_Int_Tables_number 221
_symmetry_space_group_name_Hall '-P 4 2 3'
_cell_length_a 4.355
_cell_length_b 4.355
_cell_length_c 4.355
_cell_angle_alpha 90.00
_cell_angle_beta 90.00
_cell_angle_gamma 90.00
loop_
_atom_site_label
_atom_site_type_symbol
_atom_site_fract_x
_atom_site_fract_y
_atom_site_fract_z
_atom_site_occupancy
Al1 Al 0.000 0.000 0.000 1
Os1 Os 0.000 0.500 0.500 1
Cl1 Cl 0.500 0.500 0.500 1
```

=====

No. 3
This record from Alexandria describes AlTlAu4 after structural relaxation. The functional is PBE.

As for the crystal system: cubic. The value obtained for the energy of formation is 84 meV per atom. As for the energy above the most stable polymorph in this dataset: 19.05 kJ/mol of atoms. Its total magnetic moment is 0.00 μB/cell.

```
data_AlTlAu4
_chemical_formula_sum 'Al4 Tl4 Au16'
_symmetry_space_group_name_H-M 'F -4 3 m'
_symmetry_Int_Tables_number 216
_symmetry_space_group_name_Hall 'F -4 2 3'
_cell_length_a 7.915
_cell_length_b 7.915
_cell_length_c 7.915
_cell_angle_alpha 90.00
_cell_angle_beta 90.00
_cell_angle_gamma 90.00
loop_
_atom_site_label
_atom_site_type_symbol
_atom_site_fract_x
_atom_site_fract_y
_atom_site_fract_z
_atom_site_occupancy
Al1 Al 0.000 0.000 0.000 1
Tl1 Tl 0.250 0.250 0.250 1
Au1 Au 0.125 0.125 0.625 1
```

=====

No. 4
This record from Alexandria describes RePIN2 after structural relaxation. The functional is PBE.

The uncorrected formation energy comes out at 0.987 eV/atom. As for the crystal system: tetragonal. As for the energy above the most stable polymorph in this dataset: 0.00 kJ/mol of atoms. Its total magnetic moment is 0.00 μB/cell.

```
data_RePIN2
_chemical_formula_sum 'Re1 P1 I1 N2'
_symmetry_space_group_name_H-M 'P 4/m m m'
_symmetry_Int_Tables_number 123
_symmetry_space_group_name_Hall '-P 4 2'
_cell_length_a 3.856
_cell_length_b 3.856
_cell_length_c 6.045
_cell_angle_alpha 90.00
_cell_angle_beta 90.00
_cell_angle_gamma 90.00
loop_
_atom_site_label
_atom_site_type_symbol
_atom_site_fract_x
_atom_site_fract_y
_atom_site_fract_z
_atom_site_occupancy
Re1 Re 0.000 0.000 0.000 1
P1 P 0.500 0.500 0.500 1
I1 I 0.000 0.000 0.500 1
N1 N 0.000 0.500 0.000 1
```

=====

No. 5
This record from Alexandria describes BaCaY2Cu after structural relaxation. The functional is PBE.

As for the crystal system: tetragonal. The value obtained for the energy of formation is 82 meV per atom. Its total magnetic moment is 0.00 μB/cell.

```
data_BaCaY2Cu
_chemical_formula_sum 'Ba1 Ca1 Y2 Cu1'
_symmetry_space_group_name_H-M 'P 4/m m m'
_symmetry_Int_Tables_number 123
_symmetry_space_group_name_Hall '-P 4 2'
_cell_length_a 5.569
_cell_length_b 5.569
_cell_length_c 5.789
_cell_angle_alpha 90.00
_cell_angle_beta 90.00
_cell_angle_gamma 90.00
loop_
_atom_site_label
_atom_site_type_symbol
_atom_site_fract_x
_atom_site_fract_y
_atom_site_fract_z
_atom_site_occupancy
Ba1 Ba 0.000 0.000 0.000 1
Ca1 Ca 0.500 0.500 0.000 1
Y1 Y 0.000 0.500 0.500 1
Cu1 Cu 0.500 0.500 0.500 1
```

=====

No. 6
This record from Alexandria describes Ce8HOs5 after structural relaxation. The functional is PBE.

The total energy is -0.57466 Ry/atom. As for the crystal system: tetragonal. Its total magnetic moment is 1.93 μB/cell.

```
data_Ce8HOs5
_chemical_formula_sum 'Ce16 H2 Os10'
_symmetry_space_group_name_H-M 'I -4'
_symmetry_Int_Tables_number 82
_cell_length_a 8.559
_cell_length_b 8.559
_cell_length_c 8.673
_cell_angle_alpha 90.00
_cell_angle_beta 90.00
_cell_angle_gamma 90.00
loop_
_symmetry_equiv_pos_as_xyz
'x,y,z'
'y,-x,-z'
'-x,-y,z'
'-y,x,-z'
'x+1/2,y+1/2,z+1/2'
'y+1/2,-x+1/2,-z+1/2'
'-x+1/2,-y+1/2,z+1/2'
'-y+1/2,x+1/2,-z+1/2'
loop_
_atom_site_label
_atom_site_type_symbol
_atom_site_fract_x
_atom_site_fract_y
_atom_site_fract_z
_atom_site_occupancy
Ce1 Ce 0.054 0.304 0.060 1
Ce2 Ce 0.065 0.197 0.670 1
H1 H 0.000 0.000 0.000 1
Os1 Os 0.000 0.500 0.750 1
Os2 Os 0.131 0.253 0.365 1
```

=====

No. 7
This record from Alexandria describes Tl8Sn after structural relaxation. The functional is PBE.

As for the crystal system: tetragonal. The value obtained for the energy of formation is 24 meV per atom. As for the energy above the most stable polymorph in this dataset: 0.84 kJ/mol of atoms. Its total magnetic moment is 0.00 μB/cell.

```
data_Tl8Sn
_chemical_formula_sum 'Tl16 Sn2'
_symmetry_space_group_name_H-M 'I 4/m m m'
_symmetry_Int_Tables_number 139
_symmetry_space_group_name_Hall '-I 4 2'
_cell_length_a 12.045
_cell_length_b 12.045
_cell_length_c 3.798
_cell_angle_alpha 90.00
_cell_angle_beta 90.00
_cell_angle_gamma 90.00
loop_
_atom_site_label
_atom_site_type_symbol
_atom_site_fract_x
_atom_site_fract_y
_atom_site_fract_z
_atom_site_occupancy
Tl1 Tl 0.000 0.333 0.000 1
Tl2 Tl 0.164 0.164 0.500 1
Sn1 Sn 0.000 0.000 0.000 1
```

=====

No. 8
This record from Alexandria describes LaPrIr after structural relaxation. The functional is PBE.

As for the crystal system: tetragonal. The value obtained for the energy of formation is -419 meV per atom. As for the energy above the most stable polymorph in this dataset: 13.61 kJ/mol of atoms. Its total magnetic moment is 0.00 μB/cell.

```
data_LaPrIr
_chemical_formula_sum 'La2 Pr2 Ir2'
_symmetry_space_group_name_H-M 'I 4 m m'
_symmetry_Int_Tables_number 107
_symmetry_space_group_name_Hall 'I 4 -2'
_cell_length_a 3.623
_cell_length_b 3.623
_cell_length_c 13.644
_cell_angle_alpha 90.00
_cell_angle_beta 90.00
_cell_angle_gamma 90.00
loop_
_atom_site_label
_atom_site_type_symbol
_atom_site_fract_x
_atom_site_fract_y
_atom_site_fract_z
_atom_site_occupancy
La1 La 0.000 0.000 0.000 1
Pr1 Pr 0.000 0.000 0.756 1
Ir1 Ir 0.000 0.000 0.379 1
```

=====

No. 9
This record from Alexandria describes Tb2Pr6NdTh after structural relaxation. The functional is PBE.

As for the crystal system: monoclinic. The value obtained for the energy of formation is 139 meV per atom. Its total magnetic moment is 0.00 μB/cell.

```
data_Tb2Pr6NdTh
_chemical_formula_sum 'Tb8 Pr24 Nd4 Th4'
_symmetry_space_group_name_H-M 'C 1 2/c 1'
_symmetry_Int_Tables_number 15
_cell_length_a 9.394
_cell_length_b 15.176
_cell_length_c 10.011
_cell_angle_alpha 90.00
_cell_angle_beta 99.41
_cell_angle_gamma 90.00
loop_
_symmetry_equiv_pos_as_xyz
'x,y,z'
'-x,-y,-z'
'-x,y,-z+1/2'
'x,-y,z+1/2'
'x+1/2,y+1/2,z'
'-x+1/2,-y+1/2,-z'
'-x+1/2,y+1/2,-z+1/2'
'x+1/2,-y+1/2,z+1/2'
loop_
_atom_site_label
_atom_site_type_symbol
_atom_site_fract_x
_atom_site_fract_y
_atom_site_fract_z
_atom_site_occupancy
Tb1 Tb 0.238 0.044 0.049 1
Pr1 Pr 0.070 0.176 0.443 1
Pr2 Pr 0.096 0.397 0.621 1
Pr3 Pr 0.204 0.219 0.815 1
Nd1 Nd 0.000 0.404 0.250 1
Th1 Th 0.000 0.026 0.750 1
```

=====

No. 10
This record from Alexandria describes ZrSc2Te after structural relaxation. The functional is PBE.

The uncorrected formation energy comes out at -0.360 eV/atom. As for the crystal system: tetragonal. Its total magnetic moment is 0.00 μB/cell.

```
data_ZrSc2Te
_chemical_formula_sum 'Zr2 Sc4 Te2'
_symmetry_space_group_name_H-M 'I 4/m m m'
_symmetry_Int_Tables_number 139
_symmetry_space_group_name_Hall '-I 4 2'
_cell_length_a 4.319
_cell_length_b 4.319
_cell_length_c 9.702
_cell_angle_alpha 90.00
_cell_angle_beta 90.00
_cell_angle_gamma 90.00
loop_
_atom_site_label
_atom_site_type_symbol
_atom_site_fract_x
_atom_site_fract_y
_atom_site_fract_z
_atom_site_occupancy
Zr1 Zr 0.000 0.000 0.000 1
Sc1 Sc 0.000 0.500 0.250 1
Te1 Te 0.000 0.000 0.500 1
```

=====

No. 11
This record from Alexandria describes AcPrSi2Pt2 after structural relaxation. The functional is PBE.

The uncorrected formation energy comes out at -1.088 eV/atom. As for the crystal system: trigonal. Its total magnetic moment is 0.00 μB/cell.

```
data_AcPrSi2Pt2
_chemical_formula_sum 'Ac1 Pr1 Si2 Pt2'
_symmetry_space_group_name_H-M 'P -3 m 1'
_symmetry_Int_Tables_number 164
_symmetry_space_group_name_Hall '-P 3 2"'
_cell_length_a 4.2302
_cell_length_b 4.2302
_cell_length_c 8.8864
_cell_angle_alpha 90.00
_cell_angle_beta 90.00
_cell_angle_gamma 120.00
loop_
_atom_site_label
_atom_site_type_symbol
_atom_site_fract_x
_atom_site_fract_y
_atom_site_fract_z
_atom_site_occupancy
Ac1 Ac 0.0000 0.0000 0.0000 1
Pr1 Pr 0.0000 0.0000 0.5000 1
Si1 Si 0.3333 0.6667 0.2628 1
Pt1 Pt 0.3333 0.6667 0.7428 1
```

=====

No. 12
This record from Alexandria describes Pm2ZrF after structural relaxation. The functional is PBE.

The uncorrected formation energy comes out at -0.808 eV/atom. As for the crystal system: trigonal. Its total magnetic moment is 0.00 μB/cell.

```
data_Pm2ZrF
_chemical_formula_sum 'Pm6 Zr3 F3'
_symmetry_space_group_name_H-M 'R -3 m'
_symmetry_Int_Tables_number 166
_symmetry_space_group_name_Hall '-R 3 2"'
_cell_length_a 3.2531
_cell_length_b 3.2531
_cell_length_c 31.0362
_cell_angle_alpha 90.00
_cell_angle_beta 90.00
_cell_angle_gamma 120.00
loop_
_atom_site_label
_atom_site_type_symbol
_atom_site_fract_x
_atom_site_fract_y
_atom_site_fract_z
_atom_site_occupancy
Pm1 Pm 0.0000 0.0000 0.1041 1
Zr1 Zr 0.0000 0.0000 0.0000 1
F1 F 0.0000 0.0000 0.5000 1
```

=====

Which value of total magnetic moment does entry 12 give?
0.00 μB/cell

=====

Which value of total magnetic moment does entry 9 give?
0.00 μB/cell

=====

Among the records above, which one has the highest total magnetic moment?
Ce8HOs5